<P>
# ScCoCuAs

A relaxed structure of ScCoCuAs (PBE, OQMD).

Unit cell a=6.055 b=6.055 c=6.055 alpha=90.00 beta=90.00 gamma=90.00
Space group F-43m (No. 216)
Inequivalent atoms, fractional coordinates:
Sc1 0.000 0.000 0.000 [4 per cell]
Co1 0.250 0.250 0.750 [4 per cell]
Cu1 0.250 0.250 0.250 [4 per cell]
As1 0.000 0.000 0.500 [4 per cell]



<Q>
# ScCoCuAs

A relaxed structure of ScCoCuAs (PBE, OQMD).

Unit cell a=6.180 b=6.180 c=6.180 alpha=90.00 beta=90.00 gamma=90.00
Space group F-43m (No. 216)
Inequivalent atoms, fractional coordinates:
Sc1 0.000 0.000 0.000 [4 per cell]
Co1 0.250 0.250 0.250 [4 per cell]
Cu1 0.000 0.000 0.500 [4 per cell]
As1 0.250 0.250 0.750 [4 per cell]



Most stable of them? <P>.



<P>
# YCoCuAs

A relaxed structure of YCoCuAs (PBE, OQMD).

Unit cell a=6.408 b=6.408 c=6.408 alpha=90.00 beta=90.00 gamma=90.00
Space group F-43m (No. 216)
Inequivalent atoms, fractional coordinates:
Y1 0.000 0.000 0.000 [4 per cell]
Co1 0.000 0.000 0.500 [4 per cell]
Cu1 0.250 0.250 0.750 [4 per cell]
As1 0.250 0.250 0.250 [4 per cell]



<Q>
# YCoCuAs

A relaxed structure of YCoCuAs (PBE, OQMD).

Unit cell a=6.492 b=6.492 c=6.492 alpha=90.00 beta=90.00 gamma=90.00
Space group F-43m (No. 216)
Inequivalent atoms, fractional coordinates:
Y1 0.000 0.000 0.000 [4 per cell]
Co1 0.250 0.250 0.750 [4 per cell]
Cu1 0.000 0.000 0.500 [4 per cell]
As1 0.250 0.250 0.250 [4 per cell]



<R>
# YCoCuAs

A relaxed structure of YCoCuAs (PBE, OQMD).

Unit cell a=6.321 b=6.321 c=6.321 alpha=90.00 beta=90.00 gamma=90.00
Space group F-43m (No. 216)
Inequivalent atoms, fractional coordinates:
Y1 0.000 0.000 0.000 [4 per cell]
Co1 0.250 0.250 0.750 [4 per cell]
Cu1 0.250 0.250 0.250 [4 per cell]
As1 0.000 0.000 0.500 [4 per cell]



Most stable of them? <P>.



<P>
# LiFeCoAs

A relaxed structure of LiFeCoAs (PBE, OQMD).

Unit cell a=5.734 b=5.734 c=5.734 alpha=90.00 beta=90.00 gamma=90.00
Space group F-43m (No. 216)
Inequivalent atoms, fractional coordinates:
Li1 0.000 0.000 0.000 [4 per cell]
Fe1 0.250 0.250 0.750 [4 per cell]
Co1 0.000 0.000 0.500 [4 per cell]
As1 0.250 0.250 0.250 [4 per cell]



<Q>
# LiFeCoAs

A relaxed structure of LiFeCoAs (PBE, OQMD).

Unit cell a=5.558 b=5.558 c=5.558 alpha=90.00 beta=90.00 gamma=90.00
Space group F-43m (No. 216)
Inequivalent atoms, fractional coordinates:
Li1 0.000 0.000 0.000 [4 per cell]
Fe1 0.250 0.250 0.750 [4 per cell]
Co1 0.250 0.250 0.250 [4 per cell]
As1 0.000 0.000 0.500 [4 per cell]



Most stable of them? <Q>.



<P>
# ScFeCoAs

A relaxed structure of ScFeCoAs (PBE, OQMD).

Unit cell a=6.121 b=6.121 c=6.121 alpha=90.00 beta=90.00 gamma=90.00
Space group F-43m (No. 216)
Inequivalent atoms, fractional coordinates:
Sc1 0.000 0.000 0.000 [4 per cell]
Fe1 0.250 0.250 0.750 [4 per cell]
Co1 0.000 0.000 0.500 [4 per cell]
As1 0.250 0.250 0.250 [4 per cell]



<Q>
# ScFeCoAs

A relaxed structure of ScFeCoAs (PBE, OQMD).

Unit cell a=5.916 b=5.916 c=5.916 alpha=90.00 beta=90.00 gamma=90.00
Space group F-43m (No. 216)
Inequivalent atoms, fractional coordinates:
Sc1 0.000 0.000 0.000 [4 per cell]
Fe1 0.250 0.250 0.750 [4 per cell]
Co1 0.250 0.250 0.250 [4 per cell]
As1 0.000 0.000 0.500 [4 per cell]



Most stable of them? <Q>.



<P>
# YFeCoAs

A relaxed structure of YFeCoAs (PBE, OQMD).

Unit cell a=6.157 b=6.157 c=6.157 alpha=90.00 beta=90.00 gamma=90.00
Space group F-43m (No. 216)
Inequivalent atoms, fractional coordinates:
Y1 0.000 0.000 0.000 [4 per cell]
Fe1 0.250 0.250 0.250 [4 per cell]
Co1 0.250 0.250 0.750 [4 per cell]
As1 0.000 0.000 0.500 [4 per cell]



<Q>
# YFeCoAs

A relaxed structure of YFeCoAs (PBE, OQMD).

Unit cell a=6.437 b=6.437 c=6.437 alpha=90.00 beta=90.00 gamma=90.00
Space group F-43m (No. 216)
Inequivalent atoms, fractional coordinates:
Y1 0.000 0.000 0.000 [4 per cell]
Fe1 0.000 0.000 0.500 [4 per cell]
Co1 0.250 0.250 0.750 [4 per cell]
As1 0.250 0.250 0.250 [4 per cell]



<R>
# YFeCoAs

A relaxed structure of YFeCoAs (PBE, OQMD).

Unit cell a=6.425 b=6.425 c=6.425 alpha=90.00 beta=90.00 gamma=90.00
Space group F-43m (No. 216)
Inequivalent atoms, fractional coordinates:
Y1 0.000 0.000 0.000 [4 per cell]
Fe1 0.250 0.250 0.750 [4 per cell]
Co1 0.000 0.000 0.500 [4 per cell]
As1 0.250 0.250 0.250 [4 per cell]



Most stable of them? <P>.



<P>
# ZrFeCoAs

A relaxed structure of ZrFeCoAs (PBE, OQMD).

Unit cell a=6.056 b=6.056 c=6.056 alpha=90.00 beta=90.00 gamma=90.00
Space group F-43m (No. 216)
Inequivalent atoms, fractional coordinates:
Zr1 0.000 0.000 0.000 [4 per cell]
Fe1 0.250 0.250 0.250 [4 per cell]
Co1 0.250 0.250 0.750 [4 per cell]
As1 0.000 0.000 0.500 [4 per cell]



<Q>
# ZrFeCoAs

A relaxed structure of ZrFeCoAs (PBE, OQMD).

Unit cell a=6.199 b=6.199 c=6.199 alpha=90.00 beta=90.00 gamma=90.00
Space group F-43m (No. 216)
Inequivalent atoms, fractional coordinates:
Zr1 0.000 0.000 0.000 [4 per cell]
Fe1 0.250 0.250 0.750 [4 per cell]
Co1 0.000 0.000 0.500 [4 per cell]
As1 0.250 0.250 0.250 [4 per cell]



Most stable of them? <P>.



<P>
# GaCoAs

A relaxed structure of GaCoAs (PBE, OQMD).

Unit cell a=5.817 b=5.817 c=5.817 alpha=90.00 beta=90.00 gamma=90.00
Space group F-43m (No. 216)
Inequivalent atoms, fractional coordinates:
Ga1 0.000 0.000 0.000 [4 per cell]
Co1 0.000 0.000 0.500 [4 per cell]
As1 0.250 0.250 0.750 [4 per cell]



<Q>
# GaCoAs

A relaxed structure of GaCoAs (PBE, OQMD).

Unit cell a=5.671 b=5.671 c=5.671 alpha=90.00 beta=90.00 gamma=90.00
Space group F-43m (No. 216)
Inequivalent atoms, fractional coordinates:
Ga1 0.000 0.000 0.000 [4 per cell]
Co1 0.250 0.250 0.750 [4 per cell]
As1 0.000 0.000 0.500 [4 per cell]



Most stable of them? <Q>.



<P>
# NaGaCoAs

A relaxed structure of NaGaCoAs (PBE, OQMD).

Unit cell a=6.255 b=6.255 c=6.255 alpha=90.00 beta=90.00 gamma=90.00
Space group F-43m (No. 216)
Inequivalent atoms, fractional coordinates:
Na1 0.000 0.000 0.000 [4 per cell]
Ga1 0.250 0.250 0.750 [4 per cell]
Co1 0.000 0.000 0.500 [4 per cell]
As1 0.250 0.250 0.250 [4 per cell]



<Q>
# NaGaCoAs

A relaxed structure of NaGaCoAs (PBE, OQMD).

Unit cell a=6.456 b=6.456 c=6.456 alpha=90.00 beta=90.00 gamma=90.00
Space group F-43m (No. 216)
Inequivalent atoms, fractional coordinates:
Na1 0.000 0.000 0.000 [4 per cell]
Ga1 0.250 0.250 0.750 [4 per cell]
Co1 0.250 0.250 0.250 [4 per cell]
As1 0.000 0.000 0.500 [4 per cell]



<R>
# NaGaCoAs

A relaxed structure of NaGaCoAs (PBE, OQMD).

Unit cell a=6.478 b=6.478 c=6.478 alpha=90.00 beta=90.00 gamma=90.00
Space group F-43m (No. 216)
Inequivalent atoms, fractional coordinates:
Na1 0.000 0.000 0.000 [4 per cell]
Ga1 0.000 0.000 0.500 [4 per cell]
Co1 0.250 0.250 0.250 [4 per cell]
As1 0.250 0.250 0.750 [4 per cell]



Most stable of them? <P>.